Material: CaAl
Method: DFT, PBE-GGA
State: optimized geometry

Properties
For the volume, the calculation gives 27.55 Å³ per atom. As for the energy relative to the elements: 0.021 eV per atom. As for the space group: No. 198.

abc: 6.040 6.040 6.040
angles: 90.00 90.00 90.00
Fractional coordinates of all 8 atoms:
Ca1 0.088 0.088 0.088
Ca2 0.912 0.588 0.412
Ca3 0.412 0.912 0.588
Ca4 0.588 0.412 0.912
Al1 0.598 0.902 0.098
Al2 0.402 0.402 0.402
Al3 0.902 0.098 0.598
Al4 0.098 0.598 0.902

=====

Material: CaAl3
Method: DFT, PBE-GGA
State: optimized geometry

Properties
For the volume, the calculation gives 21.99 Å³ per atom. As for the energy relative to the elements: 0.096 eV per atom. As for the space group: No. 187.

abc: 3.345 3.345 9.081
angles: 90.00 90.00 120.00
Fractional coordinates of all 4 atoms:
Al1 0.000 0.000 0.469
Al2 0.667 0.333 0.250
Al3 0.000 0.000 0.031
Ca1 0.667 0.333 0.750

=====

Material: CaAl
Method: DFT, PBE-GGA
State: optimized geometry

Properties
For the volume, the calculation gives 26.94 Å³ per atom. As for the energy relative to the elements: -0.106 eV per atom. As for the space group: No. 129.

abc: 3.500 3.500 8.798
angles: 90.00 90.00 90.00
Fractional coordinates of all 4 atoms:
Al1 0.750 0.750 0.924
Al2 0.250 0.250 0.076
Ca1 0.750 0.750 0.318
Ca2 0.250 0.250 0.682

=====

Material: CaAl
Method: DFT, PBE-GGA
State: optimized geometry

Properties
For the volume, the calculation gives 27.47 Å³ per atom. As for the energy relative to the elements: 0.060 eV per atom. As for the space group: No. 166.

abc: 5.429 5.429 5.429
angles: 38.19 38.19 38.19
Fractional coordinates of all 2 atoms:
Ca1 0.500 0.500 0.500
Al1 0.000 0.000 0.000

=====

Material: CaAl
Method: DFT, PBE-GGA
State: optimized geometry

Properties
For the volume, the calculation gives 44.38 Å³ per atom. As for the energy relative to the elements: 0.849 eV per atom. As for the space group: No. 216.

abc: 5.007 5.007 5.007
angles: 60.00 60.00 60.00
Fractional coordinates of all 2 atoms:
Ca1 0.250 0.250 0.250
Al1 0.000 0.000 0.000

=====

Material: Ca4Al
Method: DFT, PBE-GGA
State: optimized geometry

Properties
For the volume, the calculation gives 37.96 Å³ per atom. As for the energy relative to the elements: -0.024 eV per atom. The relative energy among the computed polymorphs is 33 meV per atom. As for the space group: No. 124.

abc: 6.758 7.494 7.494
angles: 90.00 90.00 90.00
Fractional coordinates of all 10 atoms:
Ca1 0.000 0.330 0.180
Ca2 0.000 0.180 0.670
Ca3 0.000 0.670 0.820
Ca4 0.500 0.330 0.820
Ca5 0.500 0.820 0.670
Ca6 0.500 0.670 0.180
Ca7 0.500 0.180 0.330
Ca8 0.000 0.820 0.330
Al1 0.250 0.500 0.500
Al2 0.750 0.500 0.500

=====

Material: Ca4Al
Method: DFT, PBE-GGA
State: optimized geometry

Properties
For the volume, the calculation gives 39.31 Å³ per atom. As for the energy relative to the elements: 0.132 eV per atom. The relative energy among the computed polymorphs is 189 meV per atom. As for the space group: No. 229.

abc: 6.344 6.344 6.344
angles: 109.47 109.47 109.47
Fractional coordinates of all 5 atoms:
Ca1 0.500 0.500 0.500
Ca2 0.000 0.500 0.000
Ca3 0.000 0.000 0.500
Ca4 0.500 0.000 0.000
Al1 0.000 0.000 0.000

=====

Material: CaAl
Method: DFT, PBE-GGA
State: optimized geometry

Properties
For the volume, the calculation gives 29.97 Å³ per atom. As for the energy relative to the elements: 0.129 eV per atom. As for the space group: No. 136.

abc: 6.195 6.195 6.248
angles: 90.00 90.00 90.00
Fractional coordinates of all 8 atoms:
Ca1 0.815 0.185 0.500
Ca2 0.315 0.315 0.000
Ca3 0.185 0.815 0.500
Ca4 0.685 0.685 0.000
Al1 0.653 0.653 0.500
Al2 0.847 0.153 0.000
Al3 0.153 0.847 0.000
Al4 0.347 0.347 0.500

=====

Material: CaAl
Method: DFT, PBE-GGA
State: optimized geometry

Properties
For the volume, the calculation gives 26.00 Å³ per atom. As for the energy relative to the elements: -0.246 eV per atom. As for the space group: No. 57.

abc: 5.755 6.068 11.910
angles: 90.00 90.00 90.00
Fractional coordinates of all 16 atoms:
Ca1 0.250 0.159 0.017
Ca2 0.250 0.605 0.833
Ca3 0.750 0.605 0.667
Ca4 0.750 0.395 0.167
Ca5 0.750 0.841 0.983
Ca6 0.750 0.159 0.483
Ca7 0.250 0.395 0.333
Ca8 0.250 0.841 0.517
Al1 0.250 0.663 0.101
Al2 0.000 0.909 0.250
Al3 0.500 0.091 0.750
Al4 0.250 0.337 0.601
Al5 0.500 0.909 0.250
Al6 0.000 0.091 0.750
Al7 0.750 0.337 0.899
Al8 0.750 0.663 0.399

=====

Material: CaAl3
Method: DFT, PBE-GGA
State: optimized geometry

Properties
For the volume, the calculation gives 21.83 Å³ per atom. As for the energy relative to the elements: -0.053 eV per atom. As for the space group: No. 12.

abc: 4.807 4.807 5.982
angles: 80.40 80.40 39.94
Fractional coordinates of all 4 atoms:
Al1 0.760 0.760 0.688
Al2 0.500 0.500 0.500
Al3 0.240 0.240 0.312
Ca1 0.000 0.000 0.000

=====

Material: CaAl
Method: DFT, PBE-GGA
State: optimized geometry

Properties
For the volume, the calculation gives 26.92 Å³ per atom. As for the energy relative to the elements: -0.222 eV per atom. As for the space group: No. 19.

abc: 6.101 5.929 11.908
angles: 90.00 90.00 90.00
Fractional coordinates of all 16 atoms:
Ca1 0.671 0.885 0.227
Ca2 0.090 0.888 0.430
Ca3 0.171 0.615 0.773
Ca4 0.910 0.388 0.070
Ca5 0.590 0.612 0.570
Ca6 0.329 0.385 0.273
Ca7 0.410 0.112 0.930
Ca8 0.829 0.115 0.727
Al1 0.590 0.117 0.474
Al2 0.910 0.883 0.974
Al3 0.831 0.390 0.345
Al4 0.669 0.610 0.845
Al5 0.169 0.890 0.155
Al6 0.090 0.383 0.526
Al7 0.410 0.617 0.026
Al8 0.331 0.110 0.655

=====

Material: CaAl3
Method: DFT, PBE-GGA
State: optimized geometry

Properties
For the volume, the calculation gives 20.62 Å³ per atom. As for the energy relative to the elements: -0.059 eV per atom. As for the space group: No. 139.

abc: 5.365 5.365 5.365
angles: 132.45 132.45 69.52
Fractional coordinates of all 4 atoms:
Ca1 0.000 0.000 0.000
Al1 0.500 0.500 0.000
Al2 0.750 0.250 0.500
Al3 0.250 0.750 0.500

=====

Copy entry 6 word for word.
Material: Ca4Al
Method: DFT, PBE-GGA
State: optimized geometry

Properties
For the volume, the calculation gives 37.96 Å³ per atom. As for the energy relative to the elements: -0.024 eV per atom. The relative energy among the computed polymorphs is 33 meV per atom. As for the space group: No. 124.

abc: 6.758 7.494 7.494
angles: 90.00 90.00 90.00
Fractional coordinates of all 10 atoms:
Ca1 0.000 0.330 0.180
Ca2 0.000 0.180 0.670
Ca3 0.000 0.670 0.820
Ca4 0.500 0.330 0.820
Ca5 0.500 0.820 0.670
Ca6 0.500 0.670 0.180
Ca7 0.500 0.180 0.330
Ca8 0.000 0.820 0.330
Al1 0.250 0.500 0.500
Al2 0.750 0.500 0.500